# PBE with a Hubbard U MgCoPd2O, optimized geometry
data_MgCoPd2O
_cell_length_a 4.385
_cell_length_b 3.818
_cell_length_c 4.385
_cell_angle_alpha 90.00
_cell_angle_beta 90.00
_cell_angle_gamma 90.00
_symmetry_space_group_name_H-M 'P 1'
_symmetry_Int_Tables_number 1
loop_
_symmetry_equiv_pos_as_xyz
'x,y,z'
loop_
_atom_site_label
_atom_site_type_symbol
_atom_site_fract_x
_atom_site_fract_y
_atom_site_fract_z
Mg1 Mg 0.000 0.500 0.000
Pd1 Pd 0.500 0.000 0.000
Co1 Co 0.500 0.500 0.500
O1 O 0.000 0.000 0.000
Pd2 Pd 0.000 0.000 0.500
# **Magnetic moment**: 2.09 μB/f.u.
# **E_tot**: -4.714 eV/atom
# **ρ**: 7.06 Mg/m³
# **SG**: No. 123